The following is a GGA-PBE calculation of a relaxed structure of PmDy12Th7, from Alexandria via LeMat-Bulk.

## Properties
The calculated volume comes out at 38.39 Å³ per atom. The formation energy is 0.941 eV/atom. For the uncorrected energy, the calculation gives -93.1 eV per cell.

Unit cell a=9.9912 b=9.9912 c=9.9912 alpha=109.47 beta=109.47 gamma=109.47
Closest atoms and distances in Å follow each position.
Element x y z (fractional)
Pm1 0.0000 0.0000 0.0000  12 Dy 4.20
Th1 0.5000 0.0000 0.0000  6 Dy 2.89
Th2 0.5000 0.0000 0.5000  12 Dy 3.96-4.08
Th3 0.5000 0.5000 0.0000  12 Dy 3.96-4.08
Th4 0.0000 0.5000 0.5000  12 Dy 3.96-4.08
Th5 0.0000 0.0000 0.5000  6 Dy 2.89
Th6 0.5000 0.5000 0.5000  6 Dy 2.89
Th7 0.0000 0.5000 0.0000  6 Dy 2.89
Dy1 0.9999 0.2573 0.7426  2 Th 2.89
Dy2 0.7427 0.2574 0.0001  2 Th 2.89
Dy3 0.2573 0.2574 0.5148  2 Th 2.89
Dy4 0.5148 0.2573 0.2574  2 Th 2.89
Dy5 0.7426 0.9999 0.2573  2 Th 2.89
Dy6 0.0001 0.7427 0.2574  2 Th 2.89
Dy7 0.4852 0.7427 0.7426  2 Th 2.89
Dy8 0.2574 0.5148 0.2573  2 Th 2.89
Dy9 0.2573 0.7426 0.9999  2 Th 2.89
Dy10 0.2574 0.0001 0.7427  2 Th 2.89
Dy11 0.7427 0.7426 0.4852  2 Th 2.89
Dy12 0.7426 0.4852 0.7427  2 Th 2.89

The following is a GGA-PBE calculation of a relaxed structure of Pm6DyTh, from Alexandria via LeMat-Bulk.

## Properties
The calculated volume comes out at 33.84 Å³ per atom. The formation energy is 0.035 eV/atom. For the relative energy among the computed polymorphs, the calculation gives 0.000 eV per atom. For the uncorrected energy, the calculation gives -40.2 eV per cell.

Unit cell a=5.1610 b=7.2423 c=7.2423 alpha=90.00 beta=90.00 gamma=90.00
Closest atoms and distances in Å follow each position.
Element x y z (fractional)
Th1 0.5000 0.6251 0.3749  12 Pm 3.60-3.62
Pm1 0.5000 0.6248 0.8748  2 Th 3.62, 2 Dy 3.62, 8 Pm 3.63-3.64
Pm2 0.0000 0.8706 0.6206  8 Pm 3.56-3.69, 2 Th 3.60, 2 Dy 3.67
Pm3 0.0000 0.8706 0.1294  8 Pm 3.56-3.68, 2 Th 3.60, 2 Dy 3.67
Pm4 0.5000 0.1252 0.3752  2 Th 3.62, 2 Dy 3.62, 8 Pm 3.63-3.64
Pm5 0.0000 0.3795 0.6205  8 Pm 3.56-3.69, 2 Th 3.60, 2 Dy 3.67
Pm6 0.0000 0.3794 0.1294  8 Pm 3.56-3.69, 2 Th 3.60, 2 Dy 3.67
Dy1 0.5000 0.1248 0.8752  12 Pm 3.62-3.67

The following is a GGA-PBE calculation of a relaxed structure of Pm2DyTh, from Alexandria via LeMat-Bulk.

## Properties
The calculated volume comes out at 34.00 Å³ per atom. The formation energy is 0.236 eV/atom. For the relative energy among the computed polymorphs, the calculation gives 0.232 eV per atom. For the uncorrected energy, the calculation gives -41.2 eV per cell.

Unit cell a=12.5752 b=5.9805 c=7.8506 alpha=112.48 beta=143.22 gamma=90.00
Closest atoms and distances in Å follow each position.
Element x y z (fractional)
Pm1 0.1391 0.5026 0.5059  3 Th 3.30-3.51, 3 Pm 3.43-3.66, 3 Dy 3.48-3.51
Pm2 0.6333 0.9974 0.4941  3 Th 3.30-3.51, 3 Pm 3.43-3.66, 3 Dy 3.48-3.51
Pm3 0.3667 0.0026 0.5059  3 Th 3.30-3.51, 3 Pm 3.43-3.66, 3 Dy 3.48-3.51
Pm4 0.8609 0.4974 0.4941  3 Th 3.30-3.51, 3 Pm 3.43-3.66, 3 Dy 3.48-3.51
Dy1 0.3735 0.2500 0.0000  3 Th 3.38-3.63, 6 Pm 3.48-3.51
Dy2 0.6265 0.7500 0.0000  3 Th 3.38-3.63, 6 Pm 3.48-3.51
Th1 0.1043 0.2500 0.0000  6 Pm 3.30-3.51, 3 Dy 3.38-3.63
Th2 0.8957 0.7500 0.0000  6 Pm 3.30-3.51, 3 Dy 3.38-3.63

The following is a GGA-PBE calculation of a relaxed structure of PmDyTh2, from Alexandria via LeMat-Bulk.

## Properties
The calculated volume comes out at 32.49 Å³ per atom. The formation energy is 0.047 eV/atom. For the relative energy among the computed polymorphs, the calculation gives 0.018 eV per atom. For the uncorrected energy, the calculation gives -24.0 eV per cell.

Unit cell a=3.5802 b=3.5802 c=11.8893 alpha=81.34 beta=81.34 gamma=60.00
Closest atoms and distances in Å follow each position.
Element x y z (fractional)
Th1 0.0825 0.0825 0.7526  3 Dy 3.51, 3 Pm 3.56, 6 Th 3.58
Th2 0.2510 0.2510 0.2469  6 Th 3.58, 3 Dy 3.60, 3 Pm 3.66
Pm1 0.4983 0.4983 0.5052  6 Th 3.56-3.66, 6 Pm 3.58
Dy1 0.6682 0.6682 0.9953  6 Th 3.51-3.60, 6 Dy 3.58

Which value of calculated volume does entry 4 give? 32.49 Å³ per atom